[1]
Here is CsK2TlFe after structural relaxation from Alexandria via LeMat-Bulk. Energies are from PBE.

Values from the calculation:
- total magnetic moment (μB per formula unit) = 2.4
- space-group type = P4/mmm
- energy relative to the elements (eV per atom) = 1.10

Cell: 6.9058 5.6410 6.9058 Å, 90.00 90.00 90.00°
Positions (direct):
Tl  0.5000  0.5000  0.5000
K  0.5000  0.0000  0.0000
K  0.0000  0.0000  0.5000
Cs  0.0000  0.0000  0.0000
Fe  0.0000  0.5000  0.0000



[2]
Here is MgAl2Au after structural relaxation from Alexandria via LeMat-Bulk. Energies are from PBE.

Values from the calculation:
- total magnetic moment (μB per formula unit) = 0.0
- space-group type = Amm2
- energy relative to the elements (eV per atom) = -0.24

Cell: 4.1758 3.3266 5.5293 Å, 72.48 90.00 90.00°
Positions (direct):
Au  0.0000  0.2981  0.5296
Al  0.5000  0.4480  0.2272
Al  0.0000  0.0421  0.0404
Mg  0.5000  0.7118  0.7028